{
  "formula": "TmCu8Pd3",
  "functional": "GGA-PBE",
  "state": "relaxed",
  "formation_enthalpy_0k_ev_per_atom": -0.229,
  "m_tot_mub_per_atom": 0.0000,
  "lattice": [[-1.181, -4.660, -0.959], [1.042, 1.369, 4.590], [-7.697, 1.695, 1.241]],
  "species": ["Cu", "Tm", "Cu", "Cu", "Cu", "Cu", "Pd", "Cu", "Pd", "Cu", "Pd", "Cu"],
  "frac_coords": [[0.164, 0.329, 0.242], [0.000, 0.000, 0.566], [0.503, 0.007, 0.757], [0.333, 0.667, 0.499], [0.993, 0.497, 0.757], [0.164, 0.836, 0.242], [0.667, 0.333, 0.065], [0.503, 0.497, 0.757], [0.000, 0.000, 0.938], [0.671, 0.836, 0.242], [0.667, 0.333, 0.434], [0.333, 0.667, 0.998]]
}